Here is crystalline LiMn3C at its relaxed geometry from the Alexandria database. Energies are from PBE.

Results
formation energy	1.992	eV per atom
magnetization	2.060	μB per atom
symmetry	No. 221

Cell: 4.1169 4.1169 4.1169 Å, 90.00 90.00 90.00°
Closest atoms and distances in Å follow each position.
Element x y z (fractional)
Li 0.0000 0.0000 0.0000  6 Mn 2.06
Mn 0.0000 0.0000 0.5000  2 Li 2.06
Mn 0.0000 0.5000 0.0000  2 Li 2.06
Mn 0.5000 0.0000 0.0000  2 Li 2.06
C 0.5000 0.5000 0.5000  12 Mn 2.91